1.
NdErTh2Bi5 | GGA-PBE | optimized geometry

energy = -4.668 eV per atom

Unit cell a=5.542 b=5.542 c=11.738 alpha=90.00 beta=90.00 gamma=90.00
Atoms (fractional coordinates):
Nd 0.000 0.000 0.000
Er 0.000 0.000 0.500
Th 0.500 0.500 0.200
Th 0.500 0.500 0.800
Bi 0.000 0.000 0.256
Bi 0.000 0.000 0.744
Bi 0.000 0.500 0.000
Bi 0.500 0.000 0.000
Bi 0.500 0.500 0.500

***

2.
CeAg2PbBr8 | GGA-PBE | optimized geometry

ΔE_f (raw) = -0.9890 eV/atom

Unit cell a=7.079 b=7.333 c=8.926 alpha=106.21 beta=90.17 gamma=101.55
Atoms (fractional coordinates):
Ce 0.000 0.000 0.000
Ag 0.471 0.659 0.684
Ag 0.529 0.341 0.316
Pb 0.000 0.000 0.500
Br 0.102 0.756 0.713
Br 0.125 0.786 0.182
Br 0.365 0.239 0.030
Br 0.398 0.258 0.575
Br 0.602 0.742 0.425
Br 0.635 0.761 0.970
Br 0.875 0.214 0.818
Br 0.898 0.244 0.287

***

3.
Ni2MoRh2 | GGA-PBE | optimized geometry

energy relative to the lowest polymorph listed for this composition = 48.1 meV per atom

Unit cell a=7.008 b=7.008 c=2.700 alpha=100.94 beta=100.94 gamma=30.84
Atoms (fractional coordinates):
Ni 0.205 0.205 0.203
Ni 0.795 0.795 0.797
Mo 0.000 0.000 0.000
Rh 0.395 0.395 0.397
Rh 0.605 0.605 0.603

***

4.
LiNb2TcO | GGA-PBE | optimized geometry

ΔE_f (raw) = -0.3369 eV/atom

Unit cell a=4.236 b=4.236 c=4.075 alpha=90.00 beta=90.00 gamma=90.00
Atoms (fractional coordinates):
Li 0.000 0.000 0.000
Nb 0.000 0.500 0.500
Nb 0.500 0.000 0.500
Tc 0.500 0.500 0.000
O 0.500 0.500 0.500

***

Number 1: Fermi-level density of states 0.5833 states/eV per atom, size of the total moment 0.001 Bohr magnetons per cell. Number 2: Fermi-level density of states 0.1496 states/eV per atom, size of the total moment 0.097 Bohr magnetons per cell. Number 3: Fermi-level density of states 1.4671 states/eV per atom, size of the total moment 0.441 Bohr magnetons per cell. Number 4: Fermi-level density of states 0.8396 states/eV per atom, size of the total moment 0.000 Bohr magnetons per cell.